No. 1
Crystalline CoGe2Rh at its relaxed geometry. Source: Alexandria via LeMat-Bulk, functional GGA-PBE.

Calculated values
Energy relative to the lowest polymorph listed for this composition   0.000 eV per atom
ΔE_f   -0.226 eV/atom

a b c (Å): 3.7410 3.7410 14.6302
angles (deg): 90.00 90.00 120.00
Space group R3m (No. 160, hexagonal axes)
One atom of each set of equivalent atoms:
1 Co 0.0000 0.0000 0.0000
2 Ge 0.0000 0.0000 0.4206
3 Ge 0.0000 0.0000 0.6082
4 Rh 0.0000 0.0000 0.1863

No. 2
Crystalline CoGe2Rh at its relaxed geometry. Source: Alexandria via LeMat-Bulk, functional GGA-PBE.

Calculated values
Energy relative to the lowest polymorph listed for this composition   0.445 eV per atom
ΔE_f   0.220 eV/atom

a b c (Å): 5.255 5.255 11.256
angles (deg): 90.00 90.00 90.00
Space group I-42d (No. 122)
One atom of each set of equivalent atoms:
1 Co 0.000 0.000 0.000
2 Ge 0.230 0.250 0.125
3 Rh 0.000 0.000 0.500